Record 1
First-principles (PBE) data for a relaxed structure of Pm12Tm2Th, as listed in the Alexandria database.

## Properties
* spin magnetization: 0.001 Bohr magnetons per cell

Lattice parameters (Å, degrees): 6.7942 6.7942 24.9673 90.00 90.00 116.77
Closest atoms and distances in Å follow each position.
Sites, in units of the cell vectors:
Pm 0.0010 0.5010 0.1272  8 Pm 3.42-3.65, 2 Th 3.62-3.66
Pm 0.0015 0.9985 0.9255  2 Th 3.43-3.44, 9 Pm 3.56-3.72
Pm 0.0177 0.5177 0.5875  7 Pm 3.31-3.64
Pm 0.0238 0.9762 0.4401  5 Pm 3.04-3.40
Pm 0.2500 0.2500 0.2001  3 Pm 3.11-3.42
Pm 0.2500 0.2500 0.3247  3 Pm 3.11-3.40
Pm 0.2500 0.2500 0.6753  3 Pm 3.11-3.40
Pm 0.2500 0.2500 0.7999  3 Pm 3.11-3.42
Pm 0.4762 0.5238 0.4401  5 Pm 3.04-3.40
Pm 0.4823 0.9823 0.5875  7 Pm 3.31-3.64
Pm 0.4985 0.5015 0.9255  2 Th 3.43-3.44, 9 Pm 3.56-3.72
Pm 0.4990 0.9990 0.1272  8 Pm 3.42-3.65, 2 Th 3.62-3.66
Pm 0.5010 0.0010 0.8728  8 Pm 3.42-3.65, 2 Th 3.62-3.66
Pm 0.5015 0.4985 0.0745  2 Th 3.43-3.44, 9 Pm 3.56-3.72
Pm 0.5177 0.0177 0.4125  7 Pm 3.31-3.64
Pm 0.5238 0.4762 0.5599  5 Pm 3.04-3.40
Pm 0.7500 0.7500 0.2001  3 Pm 3.11-3.42
Pm 0.7500 0.7500 0.3247  3 Pm 3.11-3.40
Pm 0.7500 0.7500 0.6753  3 Pm 3.11-3.40
Pm 0.7500 0.7500 0.7999  3 Pm 3.11-3.42
Pm 0.9762 0.0238 0.5599  5 Pm 3.04-3.40
Pm 0.9823 0.4823 0.4125  7 Pm 3.31-3.64
Pm 0.9985 0.0015 0.0745  2 Th 3.43-3.44, 9 Pm 3.56-3.72
Pm 0.9990 0.4990 0.8728  8 Pm 3.42-3.65, 2 Th 3.62-3.66
Tm 0.2500 0.7500 0.2699  2 Tm 3.56, 10 Pm 3.66-3.98
Tm 0.2500 0.7500 0.7337  2 Tm 3.56, 10 Pm 3.70-3.91
Tm 0.7500 0.2500 0.2663  2 Tm 3.56, 10 Pm 3.70-3.91
Tm 0.7500 0.2500 0.7301  2 Tm 3.56, 10 Pm 3.66-3.98
Th 0.2500 0.7500 0.0008  8 Pm 3.43-3.66, 2 Th 3.56
Th 0.7500 0.2500 0.9992  8 Pm 3.43-3.66, 2 Th 3.56

Record 2
First-principles (PBE) data for a relaxed structure of PmTmTh3, as listed in the Alexandria database.

## Properties
* spin magnetization: 0.000 Bohr magnetons per cell

Lattice parameters (Å, degrees): 8.2972 8.2972 8.2972 106.06 89.05 137.72
Closest atoms and distances in Å follow each position.
Sites, in units of the cell vectors:
Pm 0.5000 0.0000 0.0000  4 Th 3.41, 2 Tm 3.64
Pm 0.5000 0.5000 0.5000  4 Th 3.41, 2 Tm 3.64
Tm 0.0570 0.3070 0.7500  6 Th 3.48-3.59, 2 Pm 3.64
Tm 0.9430 0.6930 0.2500  6 Th 3.48-3.59, 2 Pm 3.64
Th 0.0000 0.0000 0.0000  6 Th 3.31-3.43, 2 Tm 3.48
Th 0.0000 0.3318 0.3318  6 Th 3.31-3.43, 2 Pm 3.41, 2 Tm 3.59
Th 0.0000 0.6682 0.6682  6 Th 3.31-3.43, 2 Pm 3.41, 2 Tm 3.59
Th 0.5000 0.0000 0.5000  6 Th 3.31-3.43, 2 Tm 3.48
Th 0.5000 0.3318 0.8318  6 Th 3.31-3.43, 2 Pm 3.41, 2 Tm 3.59
Th 0.5000 0.6682 0.1682  6 Th 3.31-3.43, 2 Pm 3.41, 2 Tm 3.59

Record 3
First-principles (PBE) data for a relaxed structure of Pm4Tm7Th, as listed in the Alexandria database.

## Properties
* spin magnetization: 0.000 Bohr magnetons per cell

Lattice parameters (Å, degrees): 7.0767 7.9262 7.9365 95.89 102.41 116.49
Closest atoms and distances in Å follow each position.
Sites, in units of the cell vectors:
Pm 0.0053 0.1688 0.1690  8 Tm 3.50-3.62, 1 Th 3.53, 3 Pm 3.53-3.61
Pm 0.2550 0.6673 0.1707  8 Tm 3.49-3.59, 1 Th 3.52, 3 Pm 3.53-3.63
Pm 0.7450 0.3327 0.8293  8 Tm 3.49-3.59, 1 Th 3.52, 3 Pm 3.53-3.63
Pm 0.9947 0.8312 0.8310  8 Tm 3.50-3.62, 1 Th 3.53, 3 Pm 3.53-3.61
Tm 0.0000 0.5000 0.5000  4 Pm 3.53-3.54, 6 Tm 3.53-3.58, 2 Th 3.54
Tm 0.2517 0.0040 0.4994  7 Tm 3.50-3.58, 1 Th 3.52, 4 Pm 3.52-3.56
Tm 0.2541 0.3361 0.8289  5 Pm 3.49-3.59, 1 Th 3.49, 6 Tm 3.50-3.59
Tm 0.4985 0.8289 0.8291  6 Tm 3.50-3.62, 5 Pm 3.50-3.62, 1 Th 3.50
Tm 0.5015 0.1711 0.1709  6 Tm 3.50-3.62, 5 Pm 3.50-3.62, 1 Th 3.50
Tm 0.7459 0.6639 0.1711  5 Pm 3.49-3.59, 1 Th 3.49, 6 Tm 3.50-3.59
Tm 0.7483 0.9960 0.5006  7 Tm 3.50-3.58, 1 Th 3.52, 4 Pm 3.52-3.56
Th 0.5000 0.5000 0.5000  8 Tm 3.49-3.54, 4 Pm 3.52-3.53

Record 4
First-principles (PBE) data for a relaxed structure of PmTm4Th, as listed in the Alexandria database.

## Properties
* spin magnetization: 0.000 Bohr magnetons per cell

Lattice parameters (Å, degrees): 11.6791 3.5373 9.9903 90.00 115.33 90.00
Closest atoms and distances in Å follow each position.
Sites, in units of the cell vectors:
Pm 0.0000 0.0000 0.0000  10 Tm 3.51-3.57, 2 Pm 3.54
Pm 0.5000 0.5000 0.0000  10 Tm 3.51-3.57, 2 Pm 3.54
Tm 0.1674 0.5000 0.3384  7 Tm 3.46-3.54, 3 Th 3.50-3.51, 2 Pm 3.57
Tm 0.1675 0.5000 0.8290  2 Th 3.50, 3 Pm 3.51-3.57, 7 Tm 3.52-3.59
Tm 0.3325 0.0000 0.1710  2 Th 3.50, 3 Pm 3.51-3.57, 7 Tm 3.52-3.59
Tm 0.3326 0.0000 0.6616  7 Tm 3.46-3.54, 3 Th 3.50-3.51, 2 Pm 3.57
Tm 0.6674 0.0000 0.3384  7 Tm 3.46-3.54, 3 Th 3.50-3.51, 2 Pm 3.57
Tm 0.6675 0.0000 0.8290  2 Th 3.50, 3 Pm 3.51-3.57, 7 Tm 3.52-3.59
Tm 0.8325 0.5000 0.1710  2 Th 3.50, 3 Pm 3.51-3.57, 7 Tm 3.52-3.59
Tm 0.8326 0.5000 0.6616  7 Tm 3.46-3.54, 3 Th 3.50-3.51, 2 Pm 3.57
Th 0.0000 0.0000 0.5000  10 Tm 3.50-3.51, 2 Th 3.54
Th 0.5000 0.5000 0.5000  10 Tm 3.50-3.51, 2 Th 3.54

Record 5
First-principles (PBE) data for a relaxed structure of Pm5Tm4Th2, as listed in the Alexandria database.

## Properties
* spin magnetization: 0.000 Bohr magnetons per cell

Lattice parameters (Å, degrees): 8.8125 3.5142 11.7812 90.00 94.36 90.00
Closest atoms and distances in Å follow each position.
Sites, in units of the cell vectors:
Pm 0.0000 0.0000 0.0000  6 Pm 3.44-3.51, 4 Tm 3.60
Pm 0.0713 0.0000 0.2925  4 Pm 3.46-3.59, 1 Th 3.48, 6 Tm 3.58-3.74
Pm 0.3098 0.0000 0.8394  1 Th 3.27, 4 Pm 3.44-3.59, 4 Tm 3.59-3.63
Pm 0.6902 0.0000 0.1606  1 Th 3.27, 4 Pm 3.44-3.59, 4 Tm 3.59-3.63
Pm 0.9287 0.0000 0.7075  4 Pm 3.46-3.59, 1 Th 3.48, 6 Tm 3.58-3.74
Tm 0.1988 0.5000 0.5464  3 Tm 3.51-3.59, 4 Th 3.56-3.70, 6 Pm 3.58-3.93
Tm 0.3368 0.5000 0.1098  2 Tm 3.51, 8 Pm 3.59-3.74, 2 Th 3.59
Tm 0.6632 0.5000 0.8902  2 Tm 3.51, 8 Pm 3.59-3.74, 2 Th 3.59
Tm 0.8012 0.5000 0.4536  3 Tm 3.51-3.59, 4 Th 3.56-3.70, 6 Pm 3.58-3.93
Th 0.4611 0.0000 0.3659  3 Th 3.18-3.51, 2 Pm 3.27-3.48, 2 Tm 3.56
Th 0.5389 0.0000 0.6341  3 Th 3.18-3.51, 2 Pm 3.27-3.48, 2 Tm 3.56

Record 6
First-principles (PBE) data for a relaxed structure of Pm5Tm4Th2, as listed in the Alexandria database.

## Properties
* spin magnetization: 0.000 Bohr magnetons per cell

Lattice parameters (Å, degrees): 13.2729 13.2729 13.2729 165.17 139.17 43.67
Closest atoms and distances in Å follow each position.
Sites, in units of the cell vectors:
Pm 0.0000 0.0000 0.0000  4 Th 3.17, 4 Tm 3.41, 2 Pm 3.43
Pm 0.1632 0.3429 0.8203  1 Th 3.20, 3 Pm 3.33-3.43, 2 Tm 3.49
Pm 0.4773 0.6571 0.8203  1 Th 3.20, 3 Pm 3.33-3.43, 2 Tm 3.49
Pm 0.5227 0.3429 0.1797  1 Th 3.20, 3 Pm 3.33-3.43, 2 Tm 3.49
Pm 0.8368 0.6571 0.1797  1 Th 3.20, 3 Pm 3.33-3.43, 2 Tm 3.49
Tm 0.2397 0.7397 0.5000  1 Th 3.24, 2 Tm 3.43, 6 Pm 3.49-3.60
Tm 0.3178 0.5000 0.8178  3 Tm 3.37-3.43, 2 Pm 3.41
Tm 0.6822 0.5000 0.1822  3 Tm 3.37-3.43, 2 Pm 3.41
Tm 0.7603 0.2603 0.5000  1 Th 3.24, 2 Tm 3.43, 6 Pm 3.49-3.60
Th 0.1082 0.6082 0.5000  4 Pm 3.17-3.20, 1 Tm 3.24, 2 Th 3.43
Th 0.8918 0.3918 0.5000  4 Pm 3.17-3.20, 1 Tm 3.24, 2 Th 3.43

Record 7
First-principles (PBE) data for a relaxed structure of Pm3Tm2Th4, as listed in the Alexandria database.

## Properties
* spin magnetization: 0.000 Bohr magnetons per cell

Lattice parameters (Å, degrees): 7.9837 7.9837 8.0612 107.69 107.69 37.02
Closest atoms and distances in Å follow each position.
Sites, in units of the cell vectors:
Pm 0.0000 0.0000 0.0000  6 Th 3.58-3.59, 4 Tm 3.59, 2 Pm 3.63
Pm 0.1154 0.1154 0.6681  6 Th 3.48-3.61, 4 Tm 3.60-3.67, 2 Pm 3.63-3.67
Pm 0.8846 0.8846 0.3319  6 Th 3.48-3.61, 4 Tm 3.60-3.67, 2 Pm 3.63-3.67
Tm 0.4397 0.4397 0.6668  5 Th 3.51-3.66, 6 Pm 3.59-3.67, 1 Tm 3.70
Tm 0.5603 0.5603 0.3332  5 Th 3.51-3.66, 6 Pm 3.59-3.67, 1 Tm 3.70
Th 0.2233 0.2233 0.3328  3 Tm 3.51-3.54, 4 Pm 3.52-3.58, 5 Th 3.57-3.60
Th 0.3311 0.3311 0.9960  5 Pm 3.48-3.61, 2 Tm 3.54-3.66, 5 Th 3.54-3.59
Th 0.6689 0.6689 0.0040  5 Pm 3.48-3.61, 2 Tm 3.54-3.66, 5 Th 3.54-3.59
Th 0.7767 0.7767 0.6672  3 Tm 3.51-3.54, 4 Pm 3.52-3.58, 5 Th 3.57-3.60

Record 8
First-principles (PBE) data for a relaxed structure of PmTmTh, as listed in the Alexandria database.

## Properties
* spin magnetization: 0.000 Bohr magnetons per cell

Lattice parameters (Å, degrees): 16.2556 16.2556 16.2556 23.40 23.40 23.40
Closest atoms and distances in Å follow each position.
Sites, in units of the cell vectors:
Pm 0.2316 0.2316 0.7022  2 Pm 3.10, 2 Th 3.23-3.30
Pm 0.2316 0.7022 0.2316  2 Pm 3.10, 2 Th 3.23-3.30
Pm 0.2978 0.7684 0.7684  2 Pm 3.10, 2 Th 3.23-3.30
Pm 0.7022 0.2316 0.2316  2 Pm 3.10, 2 Th 3.23-3.30
Pm 0.7684 0.2978 0.7684  2 Pm 3.10, 2 Th 3.23-3.30
Pm 0.7684 0.7684 0.2978  2 Pm 3.10, 2 Th 3.23-3.30
Tm 0.2339 0.2339 0.2339  6 Th 3.71-3.83, 6 Pm 3.91, 4 Tm 3.99-4.02
Tm 0.3181 0.3181 0.3181  9 Pm 3.79-3.80, 3 Th 3.87, 4 Tm 3.99-4.07
Tm 0.4602 0.4602 0.4602  4 Tm 3.77-4.02, 9 Th 3.80-3.91, 3 Pm 3.85
Tm 0.5398 0.5398 0.5398  4 Tm 3.77-4.02, 9 Th 3.80-3.91, 3 Pm 3.85
Tm 0.6819 0.6819 0.6819  9 Pm 3.79-3.80, 3 Th 3.87, 4 Tm 3.99-4.07
Tm 0.7661 0.7661 0.7661  6 Th 3.71-3.83, 6 Pm 3.91, 4 Tm 3.99-4.02
Th 0.0000 0.0000 0.0000  6 Pm 3.30
Th 0.0000 0.0000 0.5000  6 Th 3.30-3.35
Th 0.0000 0.5000 0.0000  6 Th 3.30-3.35
Th 0.1085 0.1085 0.1085  3 Pm 3.23, 3 Th 3.35
Th 0.5000 0.0000 0.0000  6 Th 3.30-3.35
Th 0.8915 0.8915 0.8915  3 Pm 3.23, 3 Th 3.35

no.,uncorrected energy (eV per atom)
1,-4.715
2,-5.910
3,-4.788
4,-4.987
5,-5.012
6,-4.634
7,-5.828
8,-5.290